Crystalline CoClF at its relaxed geometry, computed with GGA+U.

Results
- relative energy among the computed polymorphs (eV/atom) = 0.000
- E_tot (Ha/atom) = -0.162
- Fermi-level density of states (states/eV/atom) = 0.0000
- mass density (g cm⁻³) = 3.2

a b c (Å): 3.396 5.760 6.082
angles (deg): 100.71 90.00 90.00
Last column: magnetic moment on the atom in μB.
Fractional positions:
Co 0.750 0.240 0.500  2.73
Co 0.250 0.760 0.500  2.73
Cl 0.750 0.627 0.739  0.10
Cl 0.250 0.373 0.261  0.10
F 0.750 0.885 0.353  0.09
F 0.250 0.115 0.647  0.09